1.
Entry from Alexandria via LeMat-Bulk: a relaxed structure of TeP2Pt (GGA-PBE).

a b c (Å): 4.5682 4.5682 4.5690
angles (deg): 70.41 70.41 109.26
Positions (direct):
Pt: 0.5000 0.0000 0.5000
P: 0.0000 0.0000 0.0000
P: 0.5000 0.5000 0.0000
Te: 0.0000 0.5000 0.5000

calculated density: 8.7 g/cm³
energy relative to the elements, uncorrected: 61 meV/atom

=====

2.
Entry from Alexandria via LeMat-Bulk: a relaxed structure of Ce5CoSb3 (GGA-PBE).

a b c (Å): 6.3302 9.3743 9.3743
angles (deg): 120.00 90.00 90.00
Positions (direct):
Ce: 0.0000 0.3333 0.6667
Ce: 0.0000 0.6667 0.3333
Ce: 0.7500 0.7579 0.0000
Ce: 0.2500 0.2421 0.0000
Ce: 0.2500 0.7579 0.7579
Ce: 0.7500 0.2421 0.2421
Ce: 0.5000 0.6667 0.3333
Ce: 0.2500 0.0000 0.2421
Ce: 0.5000 0.3333 0.6667
Ce: 0.7500 0.0000 0.7579
Co: 0.5000 0.0000 0.0000
Co: 0.0000 0.0000 0.0000
Sb: 0.2500 0.6086 0.0000
Sb: 0.2500 0.3914 0.3914
Sb: 0.7500 0.3914 0.0000
Sb: 0.7500 0.6086 0.6086
Sb: 0.7500 0.0000 0.3914
Sb: 0.2500 0.0000 0.6086

calculated density: 7.8 g/cm³
energy relative to the elements, uncorrected: -768 meV/atom

=====

3.
Entry from Alexandria via LeMat-Bulk: a relaxed structure of Na4TbHf3Se8 (GGA-PBE).

a b c (Å): 7.7880 8.4356 7.7885
angles (deg): 117.51 120.00 90.00
Positions (direct):
Hf: 0.0000 0.5000 0.5000
Hf: 0.5000 0.5000 0.0000
Hf: 0.5000 0.5000 0.5000
Se: 0.2597 0.2792 0.5194
Se: 0.2489 0.7269 0.9781
Se: 0.2489 0.7269 0.4978
Se: 0.7511 0.2731 0.0219
Se: 0.7511 0.2731 0.5022
Se: 0.7292 0.7269 0.9781
Se: 0.2708 0.2731 0.0219
Se: 0.7403 0.7208 0.4806
Na: 0.0000 0.0000 0.0000
Na: 0.5000 0.0000 0.0000
Na: 0.5000 0.0000 0.5000
Na: 0.0000 0.0000 0.5000
Tb: 0.0000 0.5000 0.0000

calculated density: 6.3 g/cm³
energy relative to the elements, uncorrected: -1342 meV/atom

=====

4.
Entry from Alexandria via LeMat-Bulk: a relaxed structure of MgTc2Ag (GGA-PBE).

a b c (Å): 5.2766 5.3636 2.6740
angles (deg): 83.16 74.64 115.21
Positions (direct):
Tc: 0.5000 0.0000 0.5000
Tc: 0.0000 0.0000 0.0000
Ag: 0.0000 0.5000 0.5000
Mg: 0.5000 0.5000 0.0000

calculated density: 8.6 g/cm³
formation energy from the elements: 0.358 eV/atom

=====

| no. | uncorrected energy (eV per atom) |
| --- | --- |
| 1 | -4.94 |
| 2 | -6.23 |
| 3 | -5.57 |
| 4 | -5.94 |